# TaTl2Cl

A relaxed TaTl2Cl crystal (GGA-PBE, Alexandria).

```
TaTl2Cl
1.0
3.234 0.000 0.000
0.000 3.234 0.000
0.000 0.000 8.730
Ta Tl Cl
1 2 1
Direct
0.000 0.000 0.000 Ta
0.500 0.500 0.238 Tl
0.500 0.500 0.762 Tl
0.000 0.000 0.500 Cl
```

Results
For the energy relative to the elements, uncorrected, the calculation gives 0.403 eV per atom. The value obtained for the density of states at the Fermi level is 0.86 states/eV per atom. As for the theoretical density: 11.367 g/cm³.

=====

# SrGa3Sn

A relaxed SrGa3Sn crystal (GGA-PBE, Alexandria).

```
SrGa3Sn
1.0
5.720 0.000 0.000
0.000 5.720 0.000
0.000 0.000 5.720
Sr Ga Sn
1 3 1
Direct
0.000 0.000 0.000 Sr
0.000 0.000 0.500 Ga
0.000 0.500 0.000 Ga
0.500 0.000 0.000 Ga
0.500 0.500 0.500 Sn
```

Results
The uncorrected energy is -2.136 eV/atom. The value obtained for the density of states at the Fermi level is 0.52 states/eV per atom. As for the theoretical density: 3.687 g/cm³.

=====

# DyBe4GeIr2

A relaxed DyBe4GeIr2 crystal (GGA-PBE, Alexandria).

```
DyBe4GeIr2
1.0
1.953 1.128 8.711
-1.953 1.128 8.711
0.000 -2.255 8.711
Dy Be Ge Ir
1 4 1 2
Direct
0.000 0.000 0.000 Dy
0.109 0.109 0.109 Be
0.409 0.409 0.409 Be
0.591 0.591 0.591 Be
0.891 0.891 0.891 Be
0.500 0.500 0.500 Ge
0.249 0.249 0.249 Ir
0.751 0.751 0.751 Ir
```

Results
The uncorrected energy is -5.504 eV/atom. The value obtained for the density of states at the Fermi level is 0.33 states/eV per atom. As for the theoretical density: 9.458 g/cm³.

=====

# MnFeP2S

A relaxed MnFeP2S crystal (GGA-PBE, Alexandria).

```
MnFeP2S
1.0
4.149 0.000 0.000
0.000 4.149 0.000
0.000 0.000 4.742
Mn Fe P S
1 1 2 1
Direct
0.000 0.000 0.000 Mn
0.500 0.500 0.500 Fe
0.000 0.500 0.500 P
0.500 0.000 0.500 P
0.500 0.500 0.000 S
```

Results
For the energy relative to the elements, uncorrected, the calculation gives 0.947 eV per atom. The value obtained for the density of states at the Fermi level is 1.79 states/eV per atom. As for the theoretical density: 4.167 g/cm³.

=====

# SrMoP2S

A relaxed SrMoP2S crystal (GGA-PBE, Alexandria).

```
SrMoP2S
1.0
4.664 0.000 0.000
0.000 4.664 0.000
0.000 0.000 5.102
Sr Mo P S
1 1 2 1
Direct
0.000 0.000 0.000 Sr
0.500 0.500 0.500 Mo
0.000 0.500 0.500 P
0.500 0.000 0.500 P
0.500 0.500 0.000 S
```

Results
For the energy relative to the elements, uncorrected, the calculation gives -0.487 eV per atom. The value obtained for the density of states at the Fermi level is 0.50 states/eV per atom. As for the theoretical density: 4.153 g/cm³.

=====

# NiRuBr2

A relaxed NiRuBr2 crystal (GGA-PBE, Alexandria).

```
NiRuBr2
1.0
6.754 0.000 0.000
0.000 6.754 0.000
0.000 0.000 6.754
Ni Ru Br
4 4 8
Direct
0.000 0.000 0.000 Ni
0.000 0.500 0.500 Ni
0.500 0.000 0.500 Ni
0.500 0.500 0.000 Ni
0.250 0.250 0.250 Ru
0.250 0.750 0.750 Ru
0.750 0.250 0.750 Ru
0.750 0.750 0.250 Ru
0.000 0.000 0.500 Br
0.000 0.500 0.000 Br
0.250 0.250 0.750 Br
0.250 0.750 0.250 Br
0.500 0.000 0.000 Br
0.500 0.500 0.500 Br
0.750 0.250 0.250 Br
0.750 0.750 0.750 Br
```

Results
For the energy relative to the elements, uncorrected, the calculation gives 1.130 eV per atom. The value obtained for the density of states at the Fermi level is 0.76 states/eV per atom. As for the theoretical density: 6.888 g/cm³.

=====

# PrYCuPt

A relaxed PrYCuPt crystal (GGA-PBE, Alexandria).

```
PrYCuPt
1.0
4.467 0.000 0.000
0.000 3.878 0.000
0.000 0.000 10.855
Pr Y Cu Pt
2 2 2 2
Direct
0.000 0.000 0.000 Pr
0.000 0.500 0.500 Pr
0.500 0.000 0.277 Y
0.500 0.500 0.777 Y
0.500 0.000 0.566 Cu
0.500 0.500 0.066 Cu
0.000 0.000 0.719 Pt
0.000 0.500 0.219 Pt
```

Results
The uncorrected energy is -6.060 eV/atom. The value obtained for the density of states at the Fermi level is 0.79 states/eV per atom. As for the theoretical density: 8.626 g/cm³.

=====

# AlRe2Hg

A relaxed AlRe2Hg crystal (GGA-PBE, Alexandria).

```
AlRe2Hg
1.0
2.874 0.000 0.000
-1.437 2.489 0.000
0.000 0.000 27.917
Al Re Hg
3 6 3
Direct
0.000 0.000 0.000 Al
0.333 0.667 0.667 Al
0.667 0.333 0.333 Al
0.000 0.000 0.483 Re
0.000 0.000 0.743 Re
0.333 0.667 0.149 Re
0.333 0.667 0.409 Re
0.667 0.333 0.076 Re
0.667 0.333 0.816 Re
0.000 0.000 0.242 Hg
0.333 0.667 0.909 Hg
0.667 0.333 0.575 Hg
```

Results
The uncorrected energy is -7.050 eV/atom. The value obtained for the density of states at the Fermi level is 0.60 states/eV per atom. As for the theoretical density: 14.967 g/cm³.